DFT (PBE-GGA) results for crystalline Ni2Sn2Te at its relaxed geometry.

Properties
The calculation puts the calculated total energy at -4.393 eV/atom. The crystal system is tetragonal. Its formation energy (no corrections) is 0.149 eV/atom. The calculation puts the excess energy over the best structure of this formula in the dataset at 12.8 kJ per mole of atoms.

Lattice parameters (Å, degrees): 4.2020 4.2020 11.4631 90.00 90.00 90.00
Space group I4/mmm (No. 139)
Symmetry-distinct sites (fractional):
Ni 0.0000 0.0000 0.1082
Sn 0.0000 0.5000 0.2500
Te 0.0000 0.0000 0.5000